Entry 1:
First-principles (GGA-PBE) data for a geometry-optimized NaAlB structure, as listed in the Alexandria database.

a b c (Å): 3.081 5.060 7.448
angles (deg): 93.44 90.18 107.19
Space group P1 (No. 1)
Inequivalent atoms, fractional coordinates:
1 Na 0.000 0.000 0.000 (multiplicity 1)
2 Na 0.232 0.463 0.689 (multiplicity 1)
3 Al 0.469 0.940 0.384 (multiplicity 1)
4 Al 0.735 0.479 0.255 (multiplicity 1)
5 B 0.490 0.981 0.678 (multiplicity 1)
6 B 0.972 0.944 0.644 (multiplicity 1)

Computed properties:
Its volume is 111 Å³ per cell. Its calculated total energy is -22.39 eV for the cell shown. The calculated density comes out at 1.8 g/cm3.

***

Entry 2:
First-principles (GGA-PBE) data for a geometry-optimized TaMnCr3 structure, as listed in the Alexandria database.

a b c (Å): 4.686 4.686 4.686
angles (deg): 90.00 90.00 90.00
Space group Pm-3m (No. 221)
Inequivalent atoms, fractional coordinates:
1 Ta 0.000 0.000 0.000 (multiplicity 1)
2 Mn 0.500 0.500 0.500 (multiplicity 1)
3 Cr 0.000 0.000 0.500 (multiplicity 3)

Computed properties:
Its volume is 103 Å³ per cell. Its calculated total energy is -41.65 eV for the cell shown. The calculated density comes out at 6.3 g/cm3.

***

Entry 3:
First-principles (GGA-PBE) data for a geometry-optimized MgNpCoIr structure, as listed in the Alexandria database.

a b c (Å): 6.483 6.483 6.483
angles (deg): 90.00 90.00 90.00
Space group F-43m (No. 216)
Inequivalent atoms, fractional coordinates:
1 Mg 0.000 0.000 0.000 (multiplicity 4)
2 Np 0.000 0.000 0.500 (multiplicity 4)
3 Co 0.250 0.250 0.250 (multiplicity 4)
4 Ir 0.250 0.250 0.750 (multiplicity 4)

Computed properties:
Its volume is 272 Å³ per cell. Its calculated total energy is -124.41 eV for the cell shown. The calculated density comes out at 12.5 g/cm3.

***

Entry 4:
First-principles (GGA-PBE) data for a geometry-optimized CeSmTe3 structure, as listed in the Alexandria database.

a b c (Å): 15.927 4.363 9.962
angles (deg): 90.00 95.04 90.00
Space group C2/m (No. 12)
Inequivalent atoms, fractional coordinates:
1 Ce 0.110 0.000 0.079 (multiplicity 4)
2 Sm 0.175 0.500 0.633 (multiplicity 4)
3 Te 0.035 0.500 0.839 (multiplicity 4)
4 Te 0.131 0.000 0.419 (multiplicity 4)
5 Te 0.245 0.000 0.844 (multiplicity 4)

Computed properties:
Its volume is 690 Å³ per cell. The calculation puts the energy above the lowest structure with this stoichiometry at 31 meV/atom. Its calculated total energy is -107.78 eV for the cell shown. The calculated density comes out at 6.5 g/cm3.

***

Look up the calculated total energy of the third one.
-124.41 eV for the cell shown

***

What is the calculated density in the third record?
12.5 g/cm3

***

Among the records above, which one has the highest calculated total energy?
NaAlB

***

Which value of calculated density does entry 1 give?
1.8 g/cm3